No. 1
VASP calculation (PBE) on a relaxed structure of AcC2N3.

Calculated values
DFT total energy = -48.4 eV for the cell shown
Formation energy (no corrections) = -147 meV/atom
Space-group type = Imm2 (44)
Total magnetization = 0.0 μB per cell

```
AcC2N3
1.0
-2.106 3.947 2.893
2.106 -3.947 2.893
2.106 3.947 -2.893
Ac C N
1 2 3
Direct
0.000 0.000 0.000
0.409 0.564 0.845
0.719 0.564 0.155
0.185 0.490 0.696
0.464 0.464 0.000
0.794 0.490 0.304
```

No. 2
VASP calculation (PBE) on a relaxed structure of AcC2N4.

Calculated values
DFT total energy = -116.3 eV for the cell shown
Formation energy (no corrections) = -327 meV/atom
Space-group type = C2/c (15)
Total magnetization = 0.0 μB per cell

```
AcC2N4
1.0
1.843 -8.664 0.000
1.843 8.664 0.000
-1.839 0.000 9.175
Ac C N
2 4 8
Direct
0.125 0.875 0.750
0.875 0.125 0.250
0.000 0.500 0.000
0.500 0.000 0.500
0.500 0.500 0.000
0.500 0.500 0.500
0.197 0.607 0.095
0.393 0.803 0.405
0.398 0.488 0.095
0.488 0.398 0.595
0.512 0.602 0.405
0.602 0.512 0.905
0.607 0.197 0.595
0.803 0.393 0.905
```

No. 3
VASP calculation (PBE) on a relaxed structure of Ac2CN5.

Calculated values
DFT total energy = -63.5 eV for the cell shown
Formation energy (no corrections) = -557 meV/atom
Space-group type = P1 (1)
Total magnetization = 1.0 μB per cell

```
Ac2CN5
1.0
4.605 0.000 0.000
2.077 4.552 0.000
0.389 1.102 7.587
Ac C N
2 1 5
Direct
0.000 0.000 0.000
0.341 0.322 0.623
0.550 0.710 0.788
0.257 0.823 0.704
0.280 0.433 0.224
0.540 0.255 0.269
0.585 0.886 0.900
0.785 0.437 0.763
```

No. 4
VASP calculation (PBE) on a relaxed structure of Ac3CN5.

Calculated values
DFT total energy = -136.6 eV for the cell shown
Formation energy (no corrections) = -568 meV/atom
Space-group type = I4/mcm (140)
Total magnetization = 0.0 μB per cell

```
Ac3CN5
1.0
-3.568 3.568 5.376
3.568 -3.568 5.376
3.568 3.568 -5.376
Ac C N
6 2 10
Direct
0.190 0.690 0.879
0.250 0.250 0.000
0.310 0.190 0.500
0.690 0.810 0.500
0.750 0.750 0.000
0.810 0.310 0.121
0.250 0.750 0.500
0.750 0.250 0.500
0.000 0.000 0.000
0.049 0.778 0.500
0.222 0.722 0.272
0.278 0.549 0.500
0.451 0.951 0.728
0.500 0.500 0.000
0.549 0.049 0.272
0.722 0.451 0.500
0.778 0.278 0.728
0.951 0.222 0.500
```